Arrangement 1

{"formula": "NiRh2Au", "functional": "meta-GGA SCAN", "state": "PBEsol geometry", "lattice_angstrom": [[-1.3465, -0.9949, 2.1407], [-1.3221, -2.7237, -2.0976], [4.3191, -3.0847, 1.2831]], "species": ["Ni", "Rh", "Au", "Rh"], "frac_coords": [[0.5000, 0.5000, 0.5000], [0.0000, 0.0000, 0.2696], [0.5000, 0.5000, 0.0000], [0.0000, 0.0000, 0.7304]], "space_group": "Pmmm, No. 47", "mass_density_g_cm3": 14.02}

***

Arrangement 2

{"formula": "NiRh2Au", "functional": "meta-GGA SCAN", "state": "PBEsol geometry", "lattice_angstrom": [[2.7066, 0.0000, 0.0000], [1.3533, 2.3440, 0.0000], [1.3533, 0.7813, 8.6860]], "species": ["Ni", "Rh", "Rh", "Au"], "frac_coords": [[0.0000, 0.0000, 0.0000], [0.7427, 0.7427, 0.7718], [0.2573, 0.2573, 0.2282], [0.5000, 0.5000, 0.5000]], "space_group": "R-3m, No. 166", "mass_density_g_cm3": 13.91}

***

Which structure wins on stability? arrangement 2 wins.

***

Arrangement 1

{"formula": "TlAsIr2", "functional": "meta-GGA SCAN", "state": "PBEsol geometry", "lattice_angstrom": [[2.9934, 0.0000, -0.0053], [0.0000, 3.0273, 0.0000], [-1.3053, 0.0000, 7.4702]], "species": ["As", "Ir", "Ir", "Tl"], "frac_coords": [[0.0000, 0.5000, 0.5000], [0.4163, 0.0000, 0.3024], [0.5837, 0.0000, 0.6976], [0.5000, 0.5000, 0.0000]], "space_group": "P2/m, No. 10", "mass_density_g_cm3": 16.29}

***

Arrangement 2

{"formula": "TlAsIr2", "functional": "meta-GGA SCAN", "state": "PBEsol geometry", "lattice_angstrom": [[3.5759, 0.0000, 0.0000], [0.0000, 4.2907, 0.0000], [0.0000, 0.0000, 4.2907]], "species": ["Tl", "Ir", "Ir", "As"], "frac_coords": [[0.5000, 0.5000, 0.5000], [0.0000, 0.5000, 0.0000], [0.0000, 0.0000, 0.5000], [0.5000, 0.0000, 0.0000]], "space_group": "P4/mmm, No. 123", "mass_density_g_cm3": 16.74}

***

Which structure wins on stability? arrangement 1 wins.

***

Arrangement 1

{"formula": "TcIr2Rh", "functional": "meta-GGA SCAN", "state": "PBEsol geometry", "lattice_angstrom": [[2.6835, 0.0000, 0.0000], [0.0000, 3.8269, 0.0000], [0.0000, 0.0000, 5.3854]], "species": ["Ir", "Ir", "Rh", "Tc"], "frac_coords": [[0.5000, 0.5000, 0.2514], [0.0000, 0.0000, 0.9963], [0.0000, 0.0000, 0.5022], [0.5000, 0.5000, 0.7501]], "space_group": "Pmm2, No. 25", "mass_density_g_cm3": 17.57}

***

Arrangement 2

{"formula": "TcIr2Rh", "functional": "meta-GGA SCAN", "state": "PBEsol geometry", "lattice_angstrom": [[3.7891, 0.0000, 0.0000], [0.0000, 3.8182, 0.0000], [0.0000, 0.0000, 3.8182]], "species": ["Tc", "Rh", "Ir", "Ir"], "frac_coords": [[0.5000, 0.0000, 0.0000], [0.5000, 0.5000, 0.5000], [0.0000, 0.5000, 0.0000], [0.0000, 0.0000, 0.5000]], "space_group": "P4/mmm, No. 123", "mass_density_g_cm3": 17.60}

***

Which structure wins on stability? arrangement 2 wins.

***

Arrangement 1

{"formula": "ReNiTe2", "functional": "meta-GGA SCAN", "state": "PBEsol geometry", "lattice_angstrom": [[-0.6132, 1.3033, -2.7833], [-0.4313, -3.0982, 0.1904], [-7.8871, 1.2404, 2.3186]], "species": ["Re", "Ni", "Te", "Te"], "frac_coords": [[0.5000, 0.5000, 0.0000], [0.5000, 0.5000, 0.5000], [0.0000, 0.0000, 0.7397], [0.0000, 0.0000, 0.2603]], "space_group": "Cmmm, No. 65", "mass_density_g_cm3": 11.31}

***

Arrangement 2

{"formula": "ReNiTe2", "functional": "meta-GGA SCAN", "state": "PBEsol geometry", "lattice_angstrom": [[3.2552, 0.0000, 0.0000], [0.0000, 4.6364, 0.0000], [0.0000, 0.0000, 4.6364]], "species": ["Te", "Re", "Te", "Ni"], "frac_coords": [[0.0000, 0.0000, 0.5000], [0.5000, 0.5000, 0.5000], [0.0000, 0.5000, 0.0000], [0.5000, 0.0000, 0.0000]], "space_group": "P4/mmm, No. 123", "mass_density_g_cm3": 11.87}

***

Which structure wins on stability? arrangement 2 wins.

***

Arrangement 1

{"formula": "LiVF4", "functional": "meta-GGA SCAN", "state": "PBEsol geometry", "lattice_angstrom": [[-0.7370, 0.8434, -2.6240], [-2.6688, -4.5353, 0.8430], [-1.5703, 5.7501, 2.2892]], "species": ["F", "F", "F", "V", "Li", "F"], "frac_coords": [[0.6638, 0.3277, 0.1556], [0.3362, 0.6723, 0.8444], [0.9949, 0.9898, 0.6967], [0.0000, 0.0000, 0.0000], [0.5000, 0.0000, 0.5000], [0.0051, 0.0102, 0.3033]], "space_group": "C2/m, No. 12", "mass_density_g_cm3": 3.00}

***

Arrangement 2

{"formula": "LiVF4", "functional": "meta-GGA SCAN", "state": "PBEsol geometry", "lattice_angstrom": [[-2.5510, -1.4473, -2.4781], [1.7336, -9.9326, 4.0166], [-11.1507, 2.1806, 10.2051]], "species": ["F", "Li", "F", "V", "F", "F", "F", "F", "F", "V", "F", "V", "F", "V", "Li", "F", "F", "F", "F", "F", "Li", "V", "F", "F", "F", "F", "F", "F", "V", "F", "F", "Li", "F", "Li", "V", "F", "F", "F", "F", "F", "F", "Li", "F", "F", "Li", "F", "V", "Li"], "frac_coords": [[0.7844, 0.5000, 0.3251], [0.0000, 0.2500, 0.2500], [0.2637, 0.1240, 0.4088], [0.7152, 0.0000, 0.8288], [0.2156, 0.0000, 0.1749], [0.2918, 0.6210, 0.2348], [0.2918, 0.3790, 0.2348], [0.2918, 0.3790, 0.7652], [0.7844, 0.5000, 0.6749], [0.2848, 0.5000, 0.6712], [0.2690, 0.3683, 0.4125], [0.7152, 0.0000, 0.1712], [0.2690, 0.3683, 0.5875], [0.7336, 0.7389, 0.0000], [0.0000, 0.7500, 0.2500], [0.7082, 0.1210, 0.2652], [0.2637, 0.8760, 0.4088], [0.7310, 0.1317, 0.9125], [0.7082, 0.1210, 0.7348], [0.2690, 0.6317, 0.4125], [0.4590, 0.5000, 0.1403], [0.7336, 0.2611, 0.0000], [0.2156, 0.0000, 0.8251], [0.7082, 0.8790, 0.2652], [0.2918, 0.6210, 0.7652], [0.2637, 0.8760, 0.5912], [0.7363, 0.3760, 0.9088], [0.7664, 0.7592, 0.5000], [0.2664, 0.2389, 0.5000], [0.7082, 0.8790, 0.7348], [0.2336, 0.2592, 0.0000], [0.5410, 0.0000, 0.3597], [0.2690, 0.6317, 0.5875], [0.5410, 0.0000, 0.6403], [0.2664, 0.7611, 0.5000], [0.7363, 0.6240, 0.9088], [0.7363, 0.3760, 0.0912], [0.2637, 0.1240, 0.5912], [0.7310, 0.1317, 0.0875], [0.7310, 0.8683, 0.9125], [0.2336, 0.7408, 0.0000], [0.0000, 0.2500, 0.7500], [0.7310, 0.8683, 0.0875], [0.7664, 0.2408, 0.5000], [0.4590, 0.5000, 0.8597], [0.7363, 0.6240, 0.0912], [0.2848, 0.5000, 0.3288], [0.0000, 0.7500, 0.7500]], "space_group": "Pmmn, No. 59", "mass_density_g_cm3": 2.79}

***

Which structure wins on stability? arrangement 1 wins.

***

Arrangement 1

{"formula": "Ru2PbSe", "functional": "meta-GGA SCAN", "state": "PBEsol geometry", "lattice_angstrom": [[3.1414, -0.0545, 0.0000], [-1.5902, 2.7097, 0.0000], [0.0000, 0.0000, 8.3721]], "species": ["Ru", "Ru", "Pb", "Se"], "frac_coords": [[0.0000, 0.0000, 0.7217], [0.0000, 0.0000, 0.2783], [0.5000, 0.5000, 0.0000], [0.5000, 0.5000, 0.5000]], "space_group": "Cmmm, No. 65", "mass_density_g_cm3": 11.49}

***

Arrangement 2

{"formula": "Ru2PbSe", "functional": "meta-GGA SCAN", "state": "PBEsol geometry", "lattice_angstrom": [[-0.4629, -2.3378, -1.8610], [3.5137, 0.6053, -1.6344], [2.6940, -2.9149, 4.7120]], "species": ["Se", "Ru", "Pb", "Ru"], "frac_coords": [[0.5000, 0.5000, 0.0000], [0.3150, 0.0000, 0.1847], [0.0000, 0.5000, 0.5000], [0.6850, 0.0000, 0.8153]], "space_group": "P2/m, No. 10", "mass_density_g_cm3": 11.26}

***

Which structure wins on stability? arrangement 2 wins.

***

Arrangement 1

{"formula": "Co2Re", "functional": "meta-GGA SCAN", "state": "PBEsol geometry", "lattice_angstrom": [[4.0537, 0.0000, 0.0000], [0.0000, 4.3954, 0.0000], [0.0000, 0.0000, 7.6782]], "species": ["Re", "Co", "Re", "Co", "Co", "Co", "Co", "Co", "Co", "Co", "Re", "Re"], "frac_coords": [[0.2500, 0.6689, 0.6562], [0.2500, 0.1670, 0.5007], [0.7500, 0.8311, 0.1562], [0.2500, 0.1755, 0.1676], [0.2500, 0.6670, 0.9993], [0.7500, 0.8330, 0.4993], [0.7500, 0.8245, 0.8324], [0.7500, 0.3245, 0.6676], [0.7500, 0.3330, 0.0007], [0.2500, 0.6755, 0.3324], [0.2500, 0.1689, 0.8438], [0.7500, 0.3311, 0.3438]], "space_group": "Pnma, No. 62", "mass_density_g_cm3": 14.76}

***

Arrangement 2

{"formula": "Co2Re", "functional": "meta-GGA SCAN", "state": "PBEsol geometry", "lattice_angstrom": [[2.5254, 0.0000, 0.0000], [0.0000, 3.9725, 0.0000], [0.0000, -1.9863, 3.4403]], "species": ["Co", "Co", "Re"], "frac_coords": [[0.0000, 0.3333, 0.6667], [0.0000, 0.6667, 0.3333], [0.5000, 0.0000, 0.0000]], "space_group": "P6/mmm, No. 191", "mass_density_g_cm3": 14.63}

***

Which structure wins on stability? arrangement 1 wins.

***

Arrangement 1

{"formula": "OsAu2Cl", "functional": "meta-GGA SCAN", "state": "PBEsol geometry", "lattice_angstrom": [[2.6431, 0.0000, 0.0000], [0.0000, 5.0524, 0.0000], [0.0000, 0.0000, 5.0524]], "species": ["Cl", "Os", "Au", "Au"], "frac_coords": [[0.5000, 0.5000, 0.5000], [0.5000, 0.0000, 0.0000], [0.0000, 0.0000, 0.5000], [0.0000, 0.5000, 0.0000]], "space_group": "P4/mmm, No. 123", "mass_density_g_cm3": 15.25}

***

Arrangement 2

{"formula": "OsAu2Cl", "functional": "meta-GGA SCAN", "state": "PBEsol geometry", "lattice_angstrom": [[-0.4853, 3.7455, -2.6078], [0.3442, -0.3221, -4.5654], [-3.7321, 0.5016, -2.6237]], "species": ["Au", "Au", "Os", "Cl"], "frac_coords": [[0.7500, 0.7500, 0.7500], [0.2500, 0.2500, 0.2500], [0.5000, 0.5000, 0.5000], [0.0000, 0.0000, 0.0000]], "space_group": "Fm-3m, No. 225", "mass_density_g_cm3": 15.05}

***

Which structure wins on stability? arrangement 1 wins.

***

Arrangement 1

{"formula": "IrRuRh2", "functional": "meta-GGA SCAN", "state": "PBEsol geometry", "lattice_angstrom": [[-1.9360, 1.5722, 2.8434], [-3.1838, -0.2576, -2.0253], [1.9107, -4.0921, 1.0482]], "species": ["Ir", "Rh", "Ru", "Rh"], "frac_coords": [[0.2500, 0.7500, 0.5000], [0.0000, 0.0000, 0.0000], [0.5000, 0.5000, 0.0000], [0.7500, 0.2500, 0.5000]], "space_group": "I-4m2, No. 119", "mass_density_g_cm3": 15.30}

***

Arrangement 2

{"formula": "IrRuRh2", "functional": "meta-GGA SCAN", "state": "PBEsol geometry", "lattice_angstrom": [[-0.7591, -2.3190, -1.0893], [4.0976, -1.8567, 1.1023], [-1.9195, 0.1820, 4.2239]], "species": ["Ir", "Rh", "Rh", "Ru"], "frac_coords": [[0.0000, 0.5000, 0.0000], [0.7506, 0.7520, 0.5008], [0.2494, 0.2480, 0.4992], [0.5000, 0.0000, 0.0000]], "space_group": "C2/m, No. 12", "mass_density_g_cm3": 15.29}

***

Which structure wins on stability? arrangement 1 wins.

***

Arrangement 1

{"formula": "RePCl2", "functional": "meta-GGA SCAN", "state": "PBEsol geometry", "lattice_angstrom": [[-1.1785, -1.9452, -1.6472], [1.5442, -2.1290, -0.9843], [-2.5417, -7.5543, 8.3459]], "species": ["P", "Cl", "Cl", "Re"], "frac_coords": [[0.5000, 0.5000, 0.5000], [0.0649, 0.0649, 0.8052], [0.9351, 0.9351, 0.1948], [0.0000, 0.0000, 0.0000]], "space_group": "R-3m, No. 166", "mass_density_g_cm3": 6.13}

***

Arrangement 2

{"formula": "RePCl2", "functional": "meta-GGA SCAN", "state": "PBEsol geometry", "lattice_angstrom": [[3.2373, 0.0050, -0.0165], [1.6148, 2.8058, -0.0165], [0.1593, 0.0923, 8.3261]], "species": ["Re", "Cl", "Cl", "P"], "frac_coords": [[0.2897, 0.2897, 0.7095], [0.9508, 0.9508, 0.9323], [0.6327, 0.6327, 0.3083], [0.6268, 0.6268, 0.5499]], "space_group": "Cm, No. 8", "mass_density_g_cm3": 6.33}

***

Which structure wins on stability? arrangement 2 wins.

***

Arrangement 1

{"formula": "Tl2AgAu", "functional": "meta-GGA SCAN", "state": "PBEsol geometry", "lattice_angstrom": [[3.4073, 0.0000, 0.0000], [1.7036, 2.9508, 0.0000], [1.7036, 0.9836, 8.7280]], "species": ["Ag", "Au", "Tl", "Tl"], "frac_coords": [[0.5000, 0.5000, 0.5000], [0.0000, 0.0000, 0.0000], [0.2514, 0.2514, 0.2458], [0.7486, 0.7486, 0.7542]], "space_group": "R-3m, No. 166", "mass_density_g_cm3": 13.50}

***

Arrangement 2

{"formula": "Tl2AgAu", "functional": "meta-GGA SCAN", "state": "PBEsol geometry", "lattice_angstrom": [[-2.6113, -0.8459, 1.9758], [1.9935, -2.1150, 1.7294], [1.8412, 5.7314, 4.8871]], "species": ["Au", "Ag", "Tl", "Tl"], "frac_coords": [[0.5000, 0.5000, 0.7193], [0.0000, 0.0000, 0.5315], [0.0000, 0.0000, 0.9583], [0.5000, 0.5000, 0.2909]], "space_group": "P4mm, No. 99", "mass_density_g_cm3": 13.36}

***

Which structure wins on stability? arrangement 2 wins.

***

Arrangement 1

{"formula": "Ta5Mo3", "functional": "meta-GGA SCAN", "state": "PBEsol geometry", "lattice_angstrom": [[3.2034, 0.0000, 0.0000], [0.0000, 3.2034, 0.0000], [0.0000, 0.0000, 12.9823]], "species": ["Ta", "Ta", "Mo", "Mo", "Ta", "Ta", "Ta", "Mo"], "frac_coords": [[0.0000, 0.0000, 0.1173], [0.5000, 0.5000, 0.7512], [0.0000, 0.0000, 0.6294], [0.0000, 0.0000, 0.8775], [0.0000, 0.0000, 0.3761], [0.5000, 0.5000, 0.5088], [0.5000, 0.5000, 0.2472], [0.5000, 0.5000, 0.9925]], "space_group": "P4mm, No. 99", "mass_density_g_cm3": 14.86}

***

Arrangement 2

{"formula": "Ta5Mo3", "functional": "meta-GGA SCAN", "state": "PBEsol geometry", "lattice_angstrom": [[5.5080, -0.0056, 0.0000], [-1.7592, 5.2196, 0.0000], [-1.8744, -2.6070, 4.6199]], "species": ["Mo", "Ta", "Ta", "Mo", "Mo", "Ta", "Ta", "Ta"], "frac_coords": [[0.5000, 0.5000, 0.5000], [0.5000, 0.0000, 0.0000], [0.0000, 0.5000, 0.5000], [0.0000, 0.0000, 0.5000], [0.0000, 0.0000, 0.0000], [0.0000, 0.5000, 0.0000], [0.5000, 0.0000, 0.5000], [0.5000, 0.5000, 0.0000]], "space_group": "Fmmm, No. 69", "mass_density_g_cm3": 14.91}

***

Which structure wins on stability? arrangement 1 wins.